Compound: CaY2InN
Source: Alexandria via LeMat-Bulk
Functional: PBE
Structure: optimized geometry

a b c (Å): 4.837 4.837 4.858
angles (deg): 90.00 90.00 90.00
Fractional positions:
Ca (0.000, 0.000, 0.000)
Y (0.000, 0.500, 0.500)
Y (0.500, 0.000, 0.500)
In (0.500, 0.500, 0.000)
N (0.000, 0.000, 0.500)

Symmetry: No. 123
Total magnetic moment, μB/f.u.: 0.000
V, Å³/atom: 22.731
Total DFT energy (no corrections), eV/atom: -6.132
Theoretical density, g/cm3: 5.066
Formation energy without anion corrections, eV per atom: -0.9330

=====

Compound: TbMnC2
Source: Alexandria via LeMat-Bulk
Functional: PBE
Structure: optimized geometry

a b c (Å): 5.499 5.499 5.499
angles (deg): 34.52 34.52 34.52
Fractional positions:
Tb (0.000, 0.000, 0.000)
Mn (0.500, 0.500, 0.500)
C (0.230, 0.230, 0.230)
C (0.770, 0.770, 0.770)

Symmetry: No. 166
ΔE_f, eV per atom: 0.1816
Total magnetic moment, μB/f.u.: 2.128
V, Å³/atom: 11.910
Total DFT energy (no corrections), eV/atom: -7.880
Theoretical density, g/cm3: 8.292

=====

Compound: SrTbTlAu
Source: Alexandria via LeMat-Bulk
Functional: PBE
Structure: optimized geometry

a b c (Å): 5.413 5.413 5.413
angles (deg): 60.00 60.00 60.00
Fractional positions:
Sr (0.000, 0.000, 0.000)
Tb (0.500, 0.500, 0.500)
Tl (0.750, 0.750, 0.750)
Au (0.250, 0.250, 0.250)

Symmetry: No. 216
ΔE_f, eV per atom: -0.4950
Total magnetic moment, μB/f.u.: 0.000
V, Å³/atom: 28.039
Total DFT energy (no corrections), eV/atom: -3.484
Theoretical density, g/cm3: 9.593

=====

Compound: NbTeAuI2
Source: Alexandria via LeMat-Bulk
Functional: PBE
Structure: optimized geometry

a b c (Å): 5.562 5.562 5.390
angles (deg): 90.00 90.00 90.00
Fractional positions:
Nb (0.000, 0.000, 0.000)
Te (0.000, 0.000, 0.500)
Au (0.500, 0.500, 0.500)
I (0.000, 0.500, 0.000)
I (0.500, 0.000, 0.000)

Symmetry: No. 123
Total magnetic moment, μB/f.u.: 0.000
V, Å³/atom: 33.347
Total DFT energy (no corrections), eV/atom: -3.540
Theoretical density, g/cm3: 6.685
Formation energy without anion corrections, eV per atom: 0.3776

=====

Compound: NaTlAgSe2
Source: Alexandria via LeMat-Bulk
Functional: PBE
Structure: optimized geometry

a b c (Å): 8.257 8.257 8.604
angles (deg): 93.52 93.52 30.48
Fractional positions:
Na (0.209, 0.209, 0.179)
Na (0.791, 0.791, 0.821)
Tl (0.452, 0.452, 0.285)
Tl (0.548, 0.548, 0.715)
Ag (0.192, 0.192, 0.551)
Ag (0.808, 0.808, 0.449)
Se (0.152, 0.152, 0.850)
Se (0.366, 0.366, 0.613)
Se (0.634, 0.634, 0.387)
Se (0.848, 0.848, 0.150)

Symmetry: No. 12
Total magnetic moment, μB/f.u.: 0.000
V, Å³/atom: 29.700
Total DFT energy (no corrections), eV/atom: -3.122
Theoretical density, g/cm3: 5.515
Formation energy without anion corrections, eV per atom: -0.4206

=====

Compound: Na2CdIn6
Source: Alexandria via LeMat-Bulk
Functional: PBE
Structure: optimized geometry

a b c (Å): 6.733 6.733 6.473
angles (deg): 90.00 90.00 60.01
Fractional positions:
Na (0.167, 0.167, 0.150)
Na (0.833, 0.833, 0.850)
Cd (0.500, 0.500, 0.000)
In (0.143, 0.678, 0.328)
In (0.320, 0.320, 0.673)
In (0.322, 0.857, 0.672)
In (0.678, 0.143, 0.328)
In (0.680, 0.680, 0.327)
In (0.857, 0.322, 0.672)

Symmetry: No. 12
ΔE_f, eV per atom: -0.0566
Total magnetic moment, μB/f.u.: 0.000
V, Å³/atom: 28.236
Total DFT energy (no corrections), eV/atom: -2.277
Theoretical density, g/cm3: 5.537

=====

Compound: YPu3Bi4
Source: Alexandria via LeMat-Bulk
Functional: PBE
Structure: optimized geometry

a b c (Å): 7.839 9.056 7.839
angles (deg): 90.00 109.43 90.00
Fractional positions:
Y (0.000, 0.124, 0.250)
Y (0.000, 0.876, 0.750)
Pu (0.000, 0.374, 0.750)
Pu (0.000, 0.626, 0.250)
Pu (0.500, 0.124, 0.750)
Pu (0.500, 0.374, 0.250)
Pu (0.500, 0.626, 0.750)
Pu (0.500, 0.876, 0.250)
Bi (0.249, 0.124, 0.000)
Bi (0.249, 0.375, 0.499)
Bi (0.249, 0.625, 0.999)
Bi (0.249, 0.876, 0.500)
Bi (0.751, 0.124, 0.500)
Bi (0.751, 0.375, 0.001)
Bi (0.751, 0.625, 0.501)
Bi (0.751, 0.876, 0.000)

Symmetry: No. 13
ΔE_f, eV per atom: -0.4563
Total magnetic moment, μB/f.u.: 5.298
V, Å³/atom: 32.803
Total DFT energy (no corrections), eV/atom: -8.579
Theoretical density, g/cm3: 10.484

=====

Compound: ZrAlNi
Source: Alexandria via LeMat-Bulk
Functional: PBE
Structure: optimized geometry

a b c (Å): 5.496 6.921 5.067
angles (deg): 90.00 90.00 90.00
Fractional positions:
Zr (0.099, 0.105, 0.250)
Zr (0.099, 0.395, 0.750)
Zr (0.901, 0.605, 0.250)
Zr (0.901, 0.895, 0.750)
Al (0.395, 0.051, 0.750)
Al (0.395, 0.449, 0.250)
Al (0.605, 0.551, 0.750)
Al (0.605, 0.949, 0.250)
Ni (0.317, 0.750, 0.000)
Ni (0.317, 0.750, 0.500)
Ni (0.683, 0.250, 0.000)
Ni (0.683, 0.250, 0.500)

Symmetry: No. 57
ΔE_f, eV per atom: -0.5785
Total magnetic moment, μB/f.u.: 0.000
V, Å³/atom: 16.060
Total DFT energy (no corrections), eV/atom: -6.603
Theoretical density, g/cm3: 6.097

=====

Compound: Tl3Sn2Se4
Source: Alexandria via LeMat-Bulk
Functional: PBE
Structure: optimized geometry

a b c (Å): 8.813 8.813 8.543
angles (deg): 91.16 91.16 76.64
Fractional positions:
Tl (0.112, 0.888, 0.750)
Tl (0.247, 0.499, 0.540)
Tl (0.499, 0.247, 0.040)
Tl (0.501, 0.753, 0.960)
Tl (0.753, 0.501, 0.460)
Tl (0.888, 0.112, 0.250)
Sn (0.043, 0.311, 0.890)
Sn (0.311, 0.043, 0.390)
Sn (0.689, 0.957, 0.610)
Sn (0.957, 0.689, 0.110)
Se (0.075, 0.219, 0.566)
Se (0.212, 0.530, 0.919)
Se (0.219, 0.075, 0.066)
Se (0.470, 0.788, 0.581)
Se (0.530, 0.212, 0.419)
Se (0.781, 0.925, 0.934)
Se (0.788, 0.470, 0.081)
Se (0.925, 0.781, 0.434)

Symmetry: No. 15
Total magnetic moment, μB/f.u.: 0.000
V, Å³/atom: 35.856
Total DFT energy (no corrections), eV/atom: -3.581
Theoretical density, g/cm3: 6.002
Formation energy without anion corrections, eV per atom: -0.3543

=====

Compound: MgSiAu
Source: Alexandria via LeMat-Bulk
Functional: PBE
Structure: optimized geometry

a b c (Å): 4.744 4.744 4.744
angles (deg): 137.60 131.24 66.56
Fractional positions:
Mg (0.000, 0.000, 0.000)
Si (0.331, 0.331, 0.000)
Au (0.658, 0.658, 0.000)

Symmetry: No. 44
Total magnetic moment, μB/f.u.: 0.000
V, Å³/atom: 17.760
Total DFT energy (no corrections), eV/atom: -3.516
Theoretical density, g/cm3: 7.772
Formation energy without anion corrections, eV per atom: -0.0841

=====

Compound: Pr2Ga6Ag3
Source: Alexandria via LeMat-Bulk
Functional: PBE
Structure: optimized geometry

a b c (Å): 7.588 7.588 4.149
angles (deg): 90.00 90.00 98.52
Fractional positions:
Pr (0.205, 0.795, 0.000)
Pr (0.795, 0.205, 0.000)
Ga (0.119, 0.119, 0.500)
Ga (0.148, 0.457, 0.500)
Ga (0.457, 0.148, 0.500)
Ga (0.543, 0.852, 0.500)
Ga (0.852, 0.543, 0.500)
Ga (0.881, 0.881, 0.500)
Ag (0.291, 0.291, 0.000)
Ag (0.500, 0.500, 0.500)
Ag (0.709, 0.709, 0.000)

Symmetry: No. 65
ΔE_f, eV per atom: -0.2864
Total magnetic moment, μB/f.u.: 0.000
V, Å³/atom: 21.474
Total DFT energy (no corrections), eV/atom: -3.584
Theoretical density, g/cm3: 7.197

=====

> Which formula does entry 5 have?

NaTlAgSe2